The following is a DFT calculation (PBE) of a relaxed structure of LuSbTe2.

a = 4.1299 Å, b = 4.1299 Å, c = 28.8011 Å
α = 90.00°, β = 90.00°, γ = 120.00°
Space group R-3m (No. 166, hexagonal axes)
One atom of each set of equivalent atoms:
Lu (0.0000, 0.0000, 0.0000) x3
Sb (0.0000, 0.0000, 0.5000) x3
Te (0.0000, 0.0000, 0.3959) x6

Calculated values
- Fermi-level density of states (states/eV/atom) = 0.266
- energy relative to the elements, uncorrected (eV/atom) = -0.60
- energy (eV/atom) = -4.329
- total magnetization (μB/f.u.) = 0.00

=====

The following is a DFT calculation (PBE) of a relaxed structure of SrAlPt2.

a = 4.105 Å, b = 5.502 Å, c = 7.536 Å
α = 90.00°, β = 90.00°, γ = 90.00°
Space group Immm (No. 71)
One atom of each set of equivalent atoms:
Sr (0.000, 0.000, 0.000) x2
Al (0.000, 0.000, 0.500) x2
Pt (0.000, 0.500, 0.192) x4

Calculated values
- Fermi-level density of states (states/eV/atom) = 0.301
- DFT formation energy (kJ/mol of formula units) = -235
- energy (eV/atom) = -4.985
- total magnetization (μB/f.u.) = 0.00

=====

The following is a DFT calculation (PBE) of a relaxed structure of TlZnCdPb.

a = 7.469 Å, b = 7.469 Å, c = 7.469 Å
α = 90.00°, β = 90.00°, γ = 90.00°
Space group F-43m (No. 216)
One atom of each set of equivalent atoms:
Tl (0.000, 0.000, 0.000) x4
Zn (0.250, 0.250, 0.250) x4
Cd (0.250, 0.250, 0.750) x4
Pb (0.000, 0.000, 0.500) x4

Calculated values
- Fermi-level density of states (states/eV/atom) = 0.629
- DFT formation energy (kJ/mol of formula units) = 59
- energy (eV/atom) = -1.913
- total magnetization (μB/f.u.) = 0.00